The following is a DFT calculation (PBE-GGA) of a geometry-optimized Li3SmCd3 structure.

Unit cell a=6.973 b=6.973 c=6.973 alpha=90.00 beta=90.00 gamma=90.00
Element x y z (fractional)
Li (0.000, 0.250, 0.500)
Li (0.000, 0.750, 0.500)
Li (0.500, 0.000, 0.750)
Li (0.750, 0.500, 0.000)
Li (0.500, 0.000, 0.250)
Li (0.250, 0.500, 0.000)
Sm (0.500, 0.500, 0.500)
Sm (0.000, 0.000, 0.000)
Cd (0.250, 0.000, 0.500)
Cd (0.000, 0.500, 0.250)
Cd (0.500, 0.750, 0.000)
Cd (0.750, 0.000, 0.500)
Cd (0.000, 0.500, 0.750)
Cd (0.500, 0.250, 0.000)

Values from the calculation:
Energy of formation from the pure elements: 0.1769 eV/atom
Space-group type: Pm-3n